[1]
12
Lattice="3.181 -5.512 0.000 3.181 5.512 0.000 -2.122 0.000 11.884" Properties=species:S:1:pos:R:3 comment="Tb2Pr6Nd3Er PBE optimized geometry" volume_a3_per_cell=417 delta_e_f_mev_per_atom=14 sg=C2/m n_ef_per_ev_cell=16.26 pbc="T T T"
Tb 3.181 3.675 0.000
Tb 3.181 -3.675 0.000
Pr -0.003 1.835 8.961
Pr 1.065 0.000 2.925
Pr -0.003 -1.835 8.961
Pr 4.243 1.835 2.923
Pr 3.175 0.000 8.958
Pr 4.243 -1.835 2.923
Nd -1.061 0.000 5.942
Nd 2.120 1.837 5.942
Nd 2.120 -1.837 5.942
Er 3.181 0.000 0.000

=====

[2]
9
Lattice="7.747 -2.584 0.000 7.747 2.584 0.000 -2.606 0.000 7.721" Properties=species:S:1:pos:R:3 comment="Tb2Pr4Nd2Er PBE optimized geometry" volume_a3_per_cell=309 delta_e_f_mev_per_atom=16 sg=C2/m n_ef_per_ev_cell=13.86 pbc="T T T"
Tb 1.274 0.000 1.304
Tb 11.615 0.000 6.417
Pr 1.273 0.000 6.430
Pr 6.470 0.000 1.293
Pr 6.418 0.000 6.428
Pr 11.615 0.000 1.291
Nd 3.872 0.000 3.864
Nd 9.016 0.000 3.857
Er -1.303 0.000 3.861

=====

[3]
18
Lattice="2.844 -10.241 0.000 2.844 10.241 0.000 0.000 0.000 10.799" Properties=species:S:1:pos:R:3 comment="Tb2PrNd5Er PBE optimized geometry" volume_a3_per_cell=629 delta_e_f_mev_per_atom=141 sg=Cmc2_1 n_ef_per_ev_cell=27.89 pbc="T T T"
Tb 2.844 7.981 5.400
Tb 2.844 7.861 0.864
Tb 2.844 -7.861 6.263
Tb 2.844 -7.981 0.000
Pr 2.844 6.109 8.337
Pr 2.844 -6.109 2.937
Nd 2.844 9.909 8.475
Nd 2.844 4.485 0.770
Nd 2.844 4.161 5.036
Nd 2.844 2.221 8.507
Nd 2.844 0.409 5.459
Nd 2.844 -0.409 0.059
Nd 2.844 -2.221 3.108
Nd 2.844 -4.161 10.436
Nd 2.844 -4.485 6.169
Nd 2.844 -9.909 3.075
Er 2.844 1.846 2.396
Er 2.844 -1.846 7.796

=====

[4]
12
Lattice="3.121 -5.403 0.000 3.121 5.403 0.000 -2.075 0.000 11.737" Properties=species:S:1:pos:R:3 comment="Tb6Pr3NdEr2 PBE optimized geometry" volume_a3_per_cell=396 delta_e_f_mev_per_atom=18 sg=C2/m n_ef_per_ev_cell=15.84 pbc="T T T"
Tb 0.000 1.806 8.848
Tb 1.037 0.000 2.890
Tb 0.000 -1.806 8.848
Tb 4.166 1.806 2.890
Tb 3.129 0.000 8.847
Tb 4.166 -1.806 2.890
Pr -1.038 0.000 5.869
Pr 2.083 1.804 5.869
Pr 2.083 -1.804 5.869
Nd 3.121 0.000 0.000
Er 3.121 3.601 0.000
Er 3.121 -3.601 0.000

=====

[5]
18
Lattice="2.842 -10.209 0.000 2.842 10.209 0.000 0.000 0.000 10.787" Properties=species:S:1:pos:R:3 comment="TbPrNd5Er2 PBE optimized geometry" volume_a3_per_cell=626 delta_e_f_mev_per_atom=146 sg=Cmc2_1 n_ef_per_ev_cell=27.94 pbc="T T T"
Tb 2.842 8.402 5.393
Tb 2.842 -8.402 0.000
Pr 2.842 4.124 0.577
Pr 2.842 -4.124 5.970
Nd 2.842 9.775 8.481
Nd 2.842 8.007 0.758
Nd 2.842 6.051 8.064
Nd 2.842 5.752 3.803
Nd 2.842 0.340 0.729
Nd 2.842 -0.340 6.122
Nd 2.842 -5.752 9.197
Nd 2.842 -6.051 2.670
Nd 2.842 -8.007 6.151
Nd 2.842 -9.775 3.087
Er 2.842 2.381 3.916
Er 2.842 2.244 8.441
Er 2.842 -2.244 3.047
Er 2.842 -2.381 9.310

=====

[6]
8
Lattice="5.123 0.000 0.000 0.000 5.123 0.000 0.000 0.000 10.198" Properties=species:S:1:pos:R:3 comment="TbPrNdEr PBE optimized geometry" volume_a3_per_cell=268 delta_e_f_mev_per_atom=20 sg=I-4m2 polymorph_energy_kj_per_mol_fu=0 n_ef_per_ev_cell=11.52 pbc="T T T"
Tb 0.000 0.000 0.000
Tb 2.562 2.562 5.099
Pr 0.000 0.000 5.099
Pr 2.562 2.562 0.000
Nd 0.000 2.562 2.550
Nd 2.562 0.000 7.649
Er 0.000 2.562 7.649
Er 2.562 0.000 2.550

=====

[7]
8
Lattice="5.176 0.000 0.000 0.000 5.207 0.000 -0.018 0.000 10.288" Properties=species:S:1:pos:R:3 comment="TbPr4Nd2Er PBE optimized geometry" volume_a3_per_cell=277 delta_e_f_mev_per_atom=14 sg=P2/m n_ef_per_ev_cell=11.47 pbc="T T T"
Tb 0.000 0.000 0.000
Pr -0.003 2.603 2.586
Pr 5.160 2.603 7.702
Pr 2.583 0.000 2.574
Pr 2.574 0.000 7.714
Nd -0.009 0.000 5.144
Nd 2.588 2.603 0.000
Er 2.579 2.603 5.144

=====

[8]
20
Lattice="4.552 -7.568 0.000 4.552 7.568 0.000 -1.503 0.000 9.675" Properties=species:S:1:pos:R:3 comment="Tb6Pr2NdEr PBE optimized geometry" volume_a3_per_cell=667 delta_e_f_mev_per_atom=116 sg=C2/c n_ef_per_ev_cell=28.22 pbc="T T T"
Tb 2.414 4.191 1.813
Tb 3.094 4.677 5.391
Tb 3.756 4.677 9.121
Tb 3.083 1.607 3.684
Tb 5.939 4.191 3.024
Tb 5.269 1.607 1.154
Tb 2.331 -1.607 8.522
Tb 1.662 -4.191 6.651
Tb 4.518 -1.607 5.991
Tb 3.845 -4.677 0.554
Tb 4.507 -4.677 4.284
Tb 5.187 -4.191 7.862
Pr 2.175 0.766 0.412
Pr 1.424 -0.766 5.249
Pr 6.177 0.766 4.426
Pr 5.426 -0.766 9.263
Nd 4.176 7.308 2.419
Nd 3.425 -7.308 7.256
Er 3.425 1.404 7.256
Er 4.176 -1.404 2.419

=====

What is the formula in the fifth record? TbPrNd5Er2